Crystalline MnReSb at its relaxed geometry, computed with GGA-PBE.

Calculated values
Space group: P3m1 (156)
Energy relative to the elements, uncorrected: 1.49 eV/f.u.
Distance to the lowest polymorph of the same formula: 250 meV per atom
DOS(E_F): 2.21 states/eV/f.u.
Magnetization: 1.47 μB/cell
Electronic total energy: -24.2 eV for the cell shown
Calculated density: 12.15 Mg/m³

Cell and atoms, written as POSCAR:
```
MnReSb
1.0
2.997 0.000 0.000
-1.499 2.596 0.000
0.000 0.000 6.376
Mn Re Sb
1 1 1
direct
0.000 0.000 0.000 Mn
0.667 0.333 0.282 Re
0.333 0.667 0.657 Sb
```

Crystalline CdInOs2 at its relaxed geometry, computed with GGA-PBE.

Calculated values
Energy relative to the elements: 0.682 eV per atom
Space group: R-3m (166)
DOS(E_F): 3.98 states/eV/f.u.
Magnetization: 0.00 μB/cell
Electronic total energy: -23.4 eV for the cell shown
Calculated density: 14.82 Mg/m³

Cell and atoms, written as POSCAR:
```
CdInOs2
1.0
1.460 0.843 9.225
-1.460 0.843 9.225
0.000 -1.686 9.225
Cd In Os
1 1 2
direct
0.000 0.000 0.000 Cd
0.500 0.500 0.500 In
0.248 0.248 0.248 Os
0.752 0.752 0.752 Os
```

Crystalline TbSmY2Sc4 at its relaxed geometry, computed with GGA-PBE.

Calculated values
Energy relative to the elements: 0.056 eV per atom
Space group: P4/mmm (123)
DOS(E_F): 13.77 states/eV/f.u.
Magnetization: 0.00 μB/cell
Electronic total energy: -47.2 eV for the cell shown
Calculated density: 4.89 Mg/m³

Cell and atoms, written as POSCAR:
```
TbSmY2Sc4
1.0
4.934 0.000 0.000
0.000 4.934 0.000
0.000 0.000 9.298
Tb Sm Y Sc
1 1 2 4
direct
0.000 0.000 0.000 Tb
0.500 0.500 0.500 Sm
0.000 0.000 0.500 Y
0.500 0.500 0.000 Y
0.000 0.500 0.249 Sc
0.000 0.500 0.751 Sc
0.500 0.000 0.249 Sc
0.500 0.000 0.751 Sc
```

Copy entry 3 word for word.
Crystalline TbSmY2Sc4 at its relaxed geometry, computed with GGA-PBE.

Calculated values
Energy relative to the elements: 0.056 eV per atom
Space group: P4/mmm (123)
DOS(E_F): 13.77 states/eV/f.u.
Magnetization: 0.00 μB/cell
Electronic total energy: -47.2 eV for the cell shown
Calculated density: 4.89 Mg/m³

Cell and atoms, written as POSCAR:
```
TbSmY2Sc4
1.0
4.934 0.000 0.000
0.000 4.934 0.000
0.000 0.000 9.298
Tb Sm Y Sc
1 1 2 4
direct
0.000 0.000 0.000 Tb
0.500 0.500 0.500 Sm
0.000 0.000 0.500 Y
0.500 0.500 0.000 Y
0.000 0.500 0.249 Sc
0.000 0.500 0.751 Sc
0.500 0.000 0.249 Sc
0.500 0.000 0.751 Sc
```

Repeat the second record exactly.
Crystalline CdInOs2 at its relaxed geometry, computed with GGA-PBE.

Calculated values
Energy relative to the elements: 0.682 eV per atom
Space group: R-3m (166)
DOS(E_F): 3.98 states/eV/f.u.
Magnetization: 0.00 μB/cell
Electronic total energy: -23.4 eV for the cell shown
Calculated density: 14.82 Mg/m³

Cell and atoms, written as POSCAR:
```
CdInOs2
1.0
1.460 0.843 9.225
-1.460 0.843 9.225
0.000 -1.686 9.225
Cd In Os
1 1 2
direct
0.000 0.000 0.000 Cd
0.500 0.500 0.500 In
0.248 0.248 0.248 Os
0.752 0.752 0.752 Os
```